# 1
LaMg2Ru | PBEsol | relaxed

Values from the calculation:
The calculated density comes out at 5.1 Mg/m³. For the volume, the calculation gives 23.46 A^3/atom. The energy of formation from the pure elements comes out at 0.030 eV/atom. The size of the total moment is 0.000 μB per formula unit.

Cell lengths 9.676, 3.819, 5.850 Å; angles 90.00, 119.74, 90.00 degrees
Space group Cm (No. 8)
Inequivalent atoms, fractional coordinates:
1 La 0.000 0.000 0.000 x2
2 Mg 0.185 0.000 0.640 x2
3 Mg 0.400 0.000 0.372 x2
4 Ru 0.177 0.500 0.310 x2



# 2
Y2TaOs | PBEsol | relaxed

Values from the calculation:
The calculated density comes out at 11.3 Mg/m³. The calculation puts the energy above the most stable polymorph in this dataset at 40 meV/atom. For the volume, the calculation gives 20.13 A^3/atom. The energy of formation from the pure elements comes out at 0.377 eV/atom. The size of the total moment is 0.000 μB per formula unit.

Cell lengths 4.074, 4.074, 4.853 Å; angles 90.00, 90.00, 90.00 degrees
Space group P4/mmm (No. 123)
Inequivalent atoms, fractional coordinates:
1 Y 0.000 0.500 0.000 x2
2 Ta 0.000 0.000 0.500 x1
3 Os 0.500 0.500 0.500 x1



# 3
AlSiH11C3O | PBEsol | relaxed

Values from the calculation:
The calculated density comes out at 1.1 Mg/m³. For the volume, the calculation gives 10.82 A^3/atom. The total energy is -0.1887 hartree per atom. The size of the total moment is 0.000 μB per formula unit.

Cell lengths 19.334, 7.912, 9.780 Å; angles 90.00, 100.26, 90.00 degrees
Space group C2/c (No. 15)
Inequivalent atoms, fractional coordinates:
1 Al 0.005 0.114 0.113 x8
2 Si 0.126 0.172 0.639 x8
3 H 0.034 0.302 0.103 x8
4 H 0.059 0.090 0.294 x8
5 H 0.067 0.378 0.771 x8
6 H 0.095 0.198 0.877 x8
7 H 0.106 0.427 0.490 x8
8 H 0.154 0.272 0.413 x8
9 H 0.157 0.354 0.845 x8
10 H 0.183 0.086 0.254 x8
11 H 0.197 0.394 0.557 x8
12 H 0.205 0.057 0.086 x8
13 H 0.246 0.069 0.728 x8
14 C 0.109 0.284 0.798 x8
15 C 0.148 0.330 0.512 x8
16 C 0.196 0.009 0.681 x8
17 O 0.052 0.071 0.563 x8



# 4
Li6CoNiP2C2O14 | PBEsol | relaxed

Values from the calculation:
The calculated density comes out at 3.0 Mg/m³. The uncorrected formation energy is -1.860 eV/atom. For the volume, the calculation gives 9.83 A^3/atom. The size of the total moment is 5.000 μB per formula unit.

Cell lengths 4.893, 6.293, 8.343 Å; angles 90.00, 95.81, 90.00 degrees
Space group Pm (No. 6)
Inequivalent atoms, fractional coordinates:
1 Li 0.000 0.000 0.000 x1
2 Li 0.058 0.260 0.621 x2
3 Li 0.531 0.236 0.171 x2
4 Li 0.584 0.500 0.791 x1
5 Co 0.581 0.000 0.565 x1
6 Ni 0.002 0.500 0.225 x1
7 P 0.065 0.000 0.306 x1
8 P 0.521 0.500 0.482 x1
9 C 0.111 0.500 0.937 x1
10 C 0.472 0.000 0.856 x1
11 O 0.180 0.500 0.792 x1
12 O 0.202 0.500 0.457 x1
13 O 0.286 0.000 0.732 x1
14 O 0.297 0.500 0.061 x1
15 O 0.385 0.000 0.329 x1
16 O 0.402 0.000 0.000 x1
17 O 0.625 0.310 0.591 x2
18 O 0.632 0.500 0.317 x1
19 O 0.725 0.000 0.825 x1
20 O 0.858 0.500 0.968 x1
21 O 0.957 0.000 0.472 x1
22 O 0.957 0.190 0.199 x2